The following is a PBE with a Hubbard U calculation of Cd2MoF after structural relaxation, from Alexandria.

Cell: 6.9691 6.9691 6.9691 Å, 90.00 90.00 90.00°
Space group Fm-3m (No. 225)
Symmetry-distinct sites (fractional):
Cd  0.2500  0.2500  0.2500
Mo  0.0000  0.0000  0.0000
F  0.0000  0.0000  0.5000

## Properties
Volume   338.48 Å³/cell
Final energy   -2.697 eV/atom
Energy above the most stable polymorph in this dataset   194 meV/atom